The following is a DFT calculation (PBE-GGA) of a geometry-optimized Ag2HPd6N structure.

Unit cell a=8.2088 b=8.2263 c=8.2469 alpha=90.00 beta=90.00 gamma=90.00
Last column: nearest neighbours and their distance in Å.
Space group Fmmm (No. 69)
Unique sites:
Ag (0.2500, 0.2500, 0.2500)  12 Pd 2.91
H (0.0000, 0.0000, 0.0000)  6 Pd 2.03-2.04
Pd (0.0000, 0.0000, 0.2479)  1 H 2.04, 1 N 2.08
Pd (0.0000, 0.2470, 0.0000)  1 H 2.03, 1 N 2.08
Pd (0.2469, 0.0000, 0.0000)  1 H 2.03, 1 N 2.08
N (0.0000, 0.0000, 0.5000)  6 Pd 2.08

Output
electronic total energy: -4.830 eV/atom
size of the total moment: 0.0 Bohr magnetons per cell